The following is a DFT calculation (GGA-PBE) of a relaxed structure of Pr2HoTm3Sb6.

```
12
Lattice="9.621 -2.210 0.000 9.621 2.210 0.000 -2.010 0.000 8.598" Properties=species:S:1:pos:R:3 pbc="T T T"
Pr 2.518 0.000 2.857
Pr 14.713 0.000 5.742
Ho 9.621 0.000 0.000
Tm 1.561 0.000 7.173
Tm 8.616 0.000 4.299
Tm 15.670 0.000 1.425
Sb -1.428 0.000 6.456
Sb 4.557 0.000 7.970
Sb 5.651 0.000 3.513
Sb 11.580 0.000 5.086
Sb 12.675 0.000 0.629
Sb 18.659 0.000 2.142
```

Output
The uncorrected formation energy comes out at -106.9 kJ/mol of atoms. The volume comes out at 366 Å³/cell.